Entry 1:
A plane-wave DFT calculation with meta-GGA SCAN was carried out for a crystal of ZrFe3Hg relaxed with PBEsol.

As for the space-group type: Pm-3m. The calculation puts the calculated formation energy at 1.55 eV per atom.

Lattice parameters (Å, degrees): 4.498 4.498 4.498 90.00 90.00 90.00
Element x y z (fractional)
Zr: 0.000 0.000 0.000
Fe: 0.000 0.000 0.500
Fe: 0.000 0.500 0.000
Fe: 0.500 0.000 0.000
Hg: 0.500 0.500 0.500

Entry 2:
A plane-wave DFT calculation with meta-GGA SCAN was carried out for a crystal of BeCuTc relaxed with PBEsol.

As for the space-group type: P-6m2. The calculation puts the calculated formation energy at 0.14 eV per atom.

Lattice parameters (Å, degrees): 4.008 4.008 2.449 90.00 90.00 120.00
Element x y z (fractional)
Be: 0.000 0.000 0.000
Cu: 0.333 0.667 0.000
Tc: 0.667 0.333 0.500

Question: The highest calculated formation energy belongs to which entry?
Answer: ZrFe3Hg

Question: Which formula does entry 1 have?
Answer: ZrFe3Hg

Question: What is the formula in the first record?
Answer: ZrFe3Hg